Here is an optimized crystal structure of LiIrF2 from the Alexandria database. Energies are from PBE-GGA.

Output
For the energy relative to the elements, uncorrected, the calculation gives -0.515 eV/atom. As for the total magnetization: 2.2 μB per formula unit. Its relative energy among the computed polymorphs is 1.257 eV per atom. Its space group is Fm-3m (225).

Cell: 5.784 5.784 5.784 Å, 90.00 90.00 90.00°
Sites, in units of the cell vectors:
Li1 0.000 0.000 0.000
Li2 0.000 0.500 0.500
Li3 0.500 0.000 0.500
Li4 0.500 0.500 0.000
Ir1 0.000 0.000 0.500
Ir2 0.000 0.500 0.000
Ir3 0.500 0.000 0.000
Ir4 0.500 0.500 0.500
F1 0.250 0.250 0.250
F2 0.250 0.250 0.750
F3 0.250 0.750 0.250
F4 0.250 0.750 0.750
F5 0.750 0.250 0.250
F6 0.750 0.250 0.750
F7 0.750 0.750 0.250
F8 0.750 0.750 0.750